(1)
VASP calculation (PBE+U) on crystalline KFe2As2O7 at its relaxed geometry.

Cell: 5.6271 5.6271 25.2140 Å, 90.00 90.00 120.00°
Space group R32 (No. 155, hexagonal axes)
One atom of each set of equivalent atoms:
K (0.0000, 0.0000, 0.0000)
Fe (0.0000, 0.0000, 0.4272)
As (0.0000, 0.0000, 0.2345)
O (0.0000, 0.0000, 0.5000)
O (0.0209, 0.4298, 0.9329)

Properties
**Energy**: -72.41 eV per formula unit

---

(2)
VASP calculation (PBE+U) on crystalline K3FeAs2O8 at its relaxed geometry.

Cell: 5.6743 5.6743 7.6441 Å, 90.00 90.00 120.00°
Space group P-3m1 (No. 164)
One atom of each set of equivalent atoms:
K (0.0000, 0.0000, 0.0000)
K (0.3333, 0.6667, 0.7066)
Fe (0.0000, 0.0000, 0.5000)
As (0.3333, 0.6667, 0.2628)
O (0.1673, 0.3346, 0.3406)
O (0.3333, 0.6667, 0.0435)

Properties
**Energy**: -79.72 eV per formula unit